No. 1
{
  "formula": "ThMg2Se4",
  "functional": "GGA-PBE",
  "state": "relaxed",
  "formation_energy_uncorrected_ev_per_fu": -9.82,
  "lattice": [[-4.587, -5.907, -1.741], [6.467, -2.239, 3.484], [-3.807, 4.627, 4.804]],
  "species": ["Mg", "Se", "Mg", "Se", "Se", "Se", "Th", "Th", "Mg", "Se", "Mg", "Se", "Se", "Se"],
  "frac_coords": [[0.625, 0.375, 0.750], [0.385, 0.070, 0.315], [0.625, 0.375, 0.250], [0.755, 0.070, 0.685], [0.320, 0.505, 0.185], [0.320, 0.135, 0.815], [0.000, 0.000, 0.000], [0.250, 0.750, 0.500], [0.625, 0.875, 0.250], [0.495, 0.680, 0.815], [0.125, 0.375, 0.750], [0.930, 0.615, 0.685], [0.930, 0.245, 0.315], [0.865, 0.680, 0.185]]
}



No. 2
{
  "formula": "LaScTl",
  "functional": "GGA-PBE",
  "state": "relaxed",
  "delta_e_f_ev_per_atom": -0.159,
  "polymorph_energy_mev_per_atom": 130,
  "lattice": [[6.250, 0.037, -0.003], [3.691, 5.044, 0.003], [-4.687, -3.096, 2.742]],
  "species": ["Sc", "Tl", "La"],
  "frac_coords": [[0.305, 0.305, 0.000], [0.689, 0.689, 0.000], [0.006, 0.006, 0.000]]
}



No. 3
{
  "formula": "KSb",
  "functional": "GGA-PBE",
  "state": "relaxed",
  "polymorph_energy_mev_per_atom": 288,
  "formation_energy_uncorrected_ev_per_fu": -0.30,
  "lattice": [[7.238, 0.000, 0.000], [0.000, 7.238, 0.000], [0.000, 0.000, 7.081]],
  "species": ["K", "K", "Sb", "Sb", "Sb", "K", "K", "Sb"],
  "frac_coords": [[0.319, 0.319, 0.500], [0.181, 0.819, 0.000], [0.867, 0.133, 0.500], [0.367, 0.367, 0.000], [0.133, 0.867, 0.500], [0.681, 0.681, 0.500], [0.819, 0.181, 0.000], [0.633, 0.633, 0.000]]
}



No. 4
{
  "formula": "Li2AgP",
  "functional": "GGA-PBE",
  "state": "relaxed",
  "delta_e_f_ev_per_atom": -0.305,
  "lattice": [[3.862, 0.000, 0.000], [0.000, 2.818, -0.011], [0.000, 2.758, 5.403]],
  "species": ["Li", "Li", "Ag", "P"],
  "frac_coords": [[0.000, 0.527, 0.470], [0.000, 0.973, 0.030], [0.500, 0.750, 0.750], [0.500, 0.250, 0.250]]
}



No. 5
{
  "formula": "NaZr2ReIr",
  "functional": "GGA-PBE",
  "state": "relaxed",
  "delta_e_f_ev_per_atom": 1.267,
  "lattice": [[-4.791, -0.574, 0.959], [0.981, -4.219, 2.375], [0.543, 2.494, 4.206]],
  "species": ["Ir", "Na", "Re", "Zr", "Zr"],
  "frac_coords": [[0.500, 0.500, 0.500], [0.000, 0.500, 0.000], [0.000, 0.000, 0.000], [0.500, 0.000, 0.000], [0.000, 0.000, 0.500]]
}



No. 6
{
  "formula": "LiAg2Pd6",
  "functional": "GGA-PBE",
  "state": "relaxed",
  "delta_e_f_ev_per_atom": -0.057,
  "polymorph_energy_mev_per_atom": 0,
  "lattice": [[6.603, -1.252, -2.674], [-4.076, 7.214, -2.255], [-1.446, -1.521, 8.326]],
  "species": ["Pd", "Pd", "Pd", "Pd", "Pd", "Pd", "Pd", "Pd", "Pd", "Ag", "Pd", "Ag", "Pd", "Ag", "Li", "Pd", "Li", "Ag"],
  "frac_coords": [[0.830, 0.831, 0.999], [0.830, 0.500, 0.331], [0.096, 0.918, 0.418], [0.330, 0.331, 0.500], [0.670, 0.001, 0.169], [0.170, 0.500, 0.669], [0.670, 0.669, 0.500], [0.170, 0.169, 0.001], [0.904, 0.082, 0.582], [0.500, 0.158, 0.342], [0.330, 0.999, 0.831], [0.000, 0.342, 0.158], [0.404, 0.582, 0.082], [0.000, 0.658, 0.842], [0.250, 0.750, 0.250], [0.596, 0.418, 0.918], [0.750, 0.250, 0.750], [0.500, 0.842, 0.658]]
}



No. 7
{
  "formula": "TcTeOs2",
  "functional": "GGA-PBE",
  "state": "relaxed",
  "polymorph_energy_mev_per_atom": 119,
  "formation_energy_uncorrected_ev_per_fu": 2.76,
  "lattice": [[-3.983, -2.644, 0.442], [-0.558, -0.884, 4.686], [0.713, 4.154, -2.299]],
  "species": ["Os", "Tc", "Os", "Te"],
  "frac_coords": [[0.000, 0.000, 0.000], [0.500, 0.500, 0.000], [0.250, 0.750, 0.500], [0.750, 0.250, 0.500]]
}



No. 8
{
  "formula": "InIr2Rh",
  "functional": "GGA-PBE",
  "state": "relaxed",
  "delta_e_f_ev_per_atom": 0.206,
  "lattice": [[4.672, 0.000, 0.000], [0.000, 4.672, 0.000], [0.000, 0.000, 2.915]],
  "species": ["Ir", "Rh", "In", "Ir"],
  "frac_coords": [[0.000, 0.500, 0.000], [0.500, 0.500, 0.500], [0.000, 0.000, 0.500], [0.500, 0.000, 0.000]]
}



No. 9
{
  "formula": "Ac2AsSe4",
  "functional": "GGA-PBE",
  "state": "relaxed",
  "formation_energy_uncorrected_ev_per_fu": -8.82,
  "lattice": [[-3.996, -0.571, 2.171], [4.051, -2.969, 6.674], [-0.252, 7.060, -3.446]],
  "species": ["Se", "Se", "As", "Se", "Ac", "Se", "Ac"],
  "frac_coords": [[0.931, 0.229, 0.862], [0.654, 0.263, 0.308], [0.000, 0.000, 0.000], [0.069, 0.771, 0.138], [0.684, 0.669, 0.368], [0.346, 0.737, 0.692], [0.316, 0.331, 0.632]]
}



No. 10
{
  "formula": "Th2Al2Cd3",
  "functional": "GGA-PBE",
  "state": "relaxed",
  "delta_e_f_ev_per_atom": -0.166,
  "lattice": [[4.275, 0.000, 0.000], [0.000, 4.125, 0.000], [0.000, -2.062, 10.299]],
  "species": ["Cd", "Cd", "Th", "Al", "Al", "Cd", "Th"],
  "frac_coords": [[0.000, 0.000, 0.000], [0.500, 0.428, 0.855], [0.000, 0.168, 0.336], [0.500, 0.714, 0.428], [0.500, 0.286, 0.572], [0.500, 0.572, 0.145], [0.000, 0.832, 0.664]]
}



No. 11
{
  "formula": "HoMgCd6",
  "functional": "GGA-PBE",
  "state": "relaxed",
  "delta_e_f_ev_per_atom": -0.164,
  "polymorph_energy_mev_per_atom": 0,
  "lattice": [[-4.620, 1.193, 0.872], [-1.815, -5.918, -1.519], [1.296, 0.469, 6.223]],
  "species": ["Cd", "Cd", "Cd", "Cd", "Ho", "Mg", "Cd", "Cd"],
  "frac_coords": [[0.000, 0.060, 0.366], [0.500, 0.869, 0.559], [0.500, 0.932, 0.068], [0.000, 0.565, 0.435], [0.000, 0.125, 0.875], [0.500, 0.374, 0.626], [0.000, 0.634, 0.940], [0.500, 0.441, 0.131]]
}



No. 12
{
  "formula": "Pr4SmH10",
  "functional": "GGA-PBE",
  "state": "relaxed",
  "energy_ry_per_atom": -0.3280,
  "lattice": [[-2.895, 2.456, -0.848], [-3.674, -0.953, 0.857], [-0.617, 7.290, 14.292]],
  "species": ["H", "Pr", "H", "H", "Pr", "H", "H", "H", "H", "H", "H", "Sm", "H", "Pr", "Pr"],
  "frac_coords": [[0.349, 0.349, 0.954], [0.601, 0.601, 0.197], [0.951, 0.951, 0.146], [0.049, 0.049, 0.854], [0.399, 0.399, 0.803], [0.850, 0.850, 0.450], [0.449, 0.449, 0.652], [0.551, 0.551, 0.348], [0.651, 0.651, 0.046], [0.749, 0.749, 0.752], [0.150, 0.150, 0.550], [0.000, 0.000, 0.000], [0.251, 0.251, 0.248], [0.200, 0.200, 0.399], [0.800, 0.800, 0.601]]
}



No. 13
{
  "formula": "Zr2FeCo",
  "functional": "GGA-PBE",
  "state": "relaxed",
  "delta_e_f_ev_per_atom": 0.066,
  "polymorph_energy_mev_per_atom": 306,
  "lattice": [[-1.122, -3.848, 2.026], [1.439, -0.845, 4.169], [-2.903, 0.029, 3.427]],
  "species": ["Zr", "Fe", "Co", "Zr"],
  "frac_coords": [[0.250, 0.250, 0.250], [0.750, 0.750, 0.750], [0.500, 0.500, 0.500], [0.000, 0.000, 0.000]]
}